# K2CrCd

A relaxed structure of K2CrCd (PBEsol, Alexandria).

Unit cell a=3.5892 b=3.5892 c=35.4127 alpha=90.00 beta=90.00 gamma=120.00
Space group R-3m (No. 166, hexagonal axes)
Unique sites:
K  0.0000  0.0000  0.2492 [6 per cell]
Cr  0.0000  0.0000  0.5000 [3 per cell]
Cd  0.0000  0.0000  0.0000 [3 per cell]

Energy relative to the elements ... 849 meV per atom
VASP energy ... -30.93 eV per cell